Entry from Alexandria via LeMat-Bulk: a relaxed Re2RuW crystal (PBE).

Calculated values
E_form   0.070 eV/atom
Total moment   0.0 μB per formula unit

Cell: 2.772 4.780 5.546 Å, 54.95 90.00 90.00°
Element x y z (fractional)
Re (0.000, 0.000, 0.000)
Re (0.500, 0.500, 0.000)
Ru (0.500, 0.500, 0.500)
W (0.000, 0.000, 0.500)